No. 1
Entry from Alexandria: a relaxed Th2MgI2Br4 crystal (PBE).

```
data_Th2MgI2Br4
_chemical_formula_sum 'Th2 Mg1 I2 Br4'
_cell_length_a 3.9355
_cell_length_b 3.9355
_cell_length_c 24.5839
_cell_angle_alpha 90.00
_cell_angle_beta 90.00
_cell_angle_gamma 120.00
_symmetry_space_group_name_H-M 'P 1'
_symmetry_Int_Tables_number 1
_symmetry_space_group_name_Hall 'P 1'
loop_
_atom_site_label
_atom_site_type_symbol
_atom_site_fract_x
_atom_site_fract_y
_atom_site_fract_z
Br1 Br 0.6667 0.3333 0.8982
Mg1 Mg 0.0000 0.0000 0.3252
I1 I 0.6667 0.3333 0.4013
Br2 Br 0.0000 0.0000 0.5703
Th1 Th 0.6667 0.3333 0.6530
Br3 Br 0.6667 0.3333 0.0635
Br4 Br 0.0000 0.0000 0.7358
I2 I 0.6667 0.3333 0.2490
Th2 Th 0.0000 0.0000 0.9808
```

Results
The total energy is -37.22 eV/f.u. Its space group is P3m1, No. 156. For the formation energy (no corrections), the calculation gives -1221 meV per atom. As for the density of states at the Fermi level: 0.057 states/eV per atom.

No. 2
Entry from Alexandria: a relaxed Tb2SmAg5 crystal (PBE).

```
data_Tb2SmAg5
_chemical_formula_sum 'Tb2 Sm1 Ag5'
_cell_length_a 5.0913
_cell_length_b 5.0913
_cell_length_c 8.0033
_cell_angle_alpha 108.55
_cell_angle_beta 108.55
_cell_angle_gamma 90.00
_symmetry_space_group_name_H-M 'P 1'
_symmetry_Int_Tables_number 1
_symmetry_space_group_name_Hall 'P 1'
loop_
_atom_site_label
_atom_site_type_symbol
_atom_site_fract_x
_atom_site_fract_y
_atom_site_fract_z
Ag1 Ag 0.6228 0.1228 0.2457
Ag2 Ag 0.5000 0.5000 0.0000
Tb1 Tb 0.7340 0.7340 0.4679
Sm1 Sm 0.0000 0.0000 0.0000
Ag3 Ag 0.3772 0.8772 0.7543
Ag4 Ag 0.8772 0.3772 0.7543
Tb2 Tb 0.2660 0.2660 0.5321
Ag5 Ag 0.1228 0.6228 0.2457
```

Results
The total energy is -30.08 eV/f.u. Its space group is I4/mmm, No. 139. As for the density of states at the Fermi level: 0.681 states/eV per atom.

Please write out number 2 again, unchanged.
Entry from Alexandria: a relaxed Tb2SmAg5 crystal (PBE).

```
data_Tb2SmAg5
_chemical_formula_sum 'Tb2 Sm1 Ag5'
_cell_length_a 5.0913
_cell_length_b 5.0913
_cell_length_c 8.0033
_cell_angle_alpha 108.55
_cell_angle_beta 108.55
_cell_angle_gamma 90.00
_symmetry_space_group_name_H-M 'P 1'
_symmetry_Int_Tables_number 1
_symmetry_space_group_name_Hall 'P 1'
loop_
_atom_site_label
_atom_site_type_symbol
_atom_site_fract_x
_atom_site_fract_y
_atom_site_fract_z
Ag1 Ag 0.6228 0.1228 0.2457
Ag2 Ag 0.5000 0.5000 0.0000
Tb1 Tb 0.7340 0.7340 0.4679
Sm1 Sm 0.0000 0.0000 0.0000
Ag3 Ag 0.3772 0.8772 0.7543
Ag4 Ag 0.8772 0.3772 0.7543
Tb2 Tb 0.2660 0.2660 0.5321
Ag5 Ag 0.1228 0.6228 0.2457
```

Results
The total energy is -30.08 eV/f.u. Its space group is I4/mmm, No. 139. As for the density of states at the Fermi level: 0.681 states/eV per atom.